Here is a relaxed structure of Pr4BSCl2 from the Alexandria database. Energies are from GGA-PBE.

Values from the calculation:
total moment = 0.000 μB per formula unit
formation energy without anion corrections = -1358 meV/atom
calculated total energy = -5.56 eV/atom

Cell lengths 4.036, 7.089, 7.425 Å; angles 108.29, 90.00, 90.00 degrees
Positions (direct):
Pr1 0.000 0.282 0.794
S1 0.000 0.000 0.000
Cl1 0.500 0.000 0.500
Pr2 0.500 0.258 0.210
Pr3 0.500 0.742 0.790
B1 0.500 0.500 0.000
Pr4 0.000 0.718 0.206
Cl2 0.000 0.500 0.500